VASP calculation (PBE) on a relaxed structure of Pa2GaN.

Output
Offset from the most stable computed form ... 0.410 eV/atom
Total DFT energy (no corrections) ... -0.2944 Ha/atom
DOS at the Fermi energy ... 6.16 states/eV/cell
Formation energy from raw total energies ... -424 meV/atom
Space-group type ... P4/mmm, No. 123
Mass density ... 12.928 g/cm3
Spin magnetization ... 0.93 μB per cell

Cell lengths 3.062, 3.062, 7.480 Å; angles 90.00, 90.00, 90.00 degrees
Fractional positions:
1 Ga 0.500 0.500 0.500
2 N 0.500 0.500 0.000
3 Pa 0.000 0.000 0.203
4 Pa 0.000 0.000 0.797

***

VASP calculation (PBE) on a relaxed structure of Li2MgNiH6.

Output
Total DFT energy (no corrections) ... -0.1210 Ha/atom
DOS at the Fermi energy ... 2.30 states/eV/cell
Space-group type ... P-3m1, No. 164
Mass density ... 1.867 g/cm3
Spin magnetization ... 0.00 μB per cell

Cell lengths 4.921, 4.634, 4.634 Å; angles 120.00, 90.00, 90.00 degrees
Fractional positions:
1 H 0.197 0.330 0.165
2 H 0.803 0.165 0.835
3 H 0.803 0.165 0.330
4 Ni 0.000 0.000 0.000
5 H 0.197 0.835 0.670
6 H 0.803 0.670 0.835
7 Li 0.091 0.333 0.667
8 Li 0.909 0.667 0.333
9 H 0.197 0.835 0.165
10 Mg 0.500 0.000 0.000

***

VASP calculation (PBE) on a relaxed structure of K2LiHg3Bi4.

Output
Total DFT energy (no corrections) ... -0.0841 Ha/atom
DOS at the Fermi energy ... 1.84 states/eV/cell
Formation energy ... -235.7 meV per atom
Space-group type ... P-4m2, No. 115
Mass density ... 7.700 g/cm3
Spin magnetization ... 0.00 μB per cell

Cell lengths 5.063, 5.063, 12.809 Å; angles 90.00, 90.00, 90.00 degrees
Fractional positions:
1 Hg 0.500 0.000 0.852
2 K 0.000 0.500 0.742
3 Li 0.500 0.500 0.500
4 Bi 0.500 0.500 0.000
5 Bi 0.000 0.000 0.000
6 Bi 0.000 0.500 0.374
7 Hg 0.000 0.500 0.148
8 Hg 0.000 0.000 0.500
9 Bi 0.500 0.000 0.626
10 K 0.500 0.000 0.258

***

VASP calculation (PBE) on a relaxed structure of ZnCuF2.

Output
Offset from the most stable computed form ... 0.211 eV/atom
Total DFT energy (no corrections) ... -0.1179 Ha/atom
DOS at the Fermi energy ... 0.96 states/eV/cell
Formation energy from raw total energies ... -930 meV/atom
Space-group type ... Fm-3m, No. 225
Mass density ... 5.932 g/cm3
Spin magnetization ... 0.00 μB per cell

Cell lengths 4.043, 4.043, 4.043 Å; angles 60.00, 60.00, 60.00 degrees
Fractional positions:
1 F 0.750 0.750 0.750
2 Zn 0.500 0.500 0.500
3 F 0.250 0.250 0.250
4 Cu 0.000 0.000 0.000

***

Q: Among the records above, which one has the lowest DOS at the Fermi energy?
A: ZnCuF2

***

Q: Which value of total DFT energy (no corrections) does entry 3 give?
A: -0.0841 Ha/atom

***

Copy entry 1 word for word.
VASP calculation (PBE) on a relaxed structure of Pa2GaN.

Output
Offset from the most stable computed form ... 0.410 eV/atom
Total DFT energy (no corrections) ... -0.2944 Ha/atom
DOS at the Fermi energy ... 6.16 states/eV/cell
Formation energy from raw total energies ... -424 meV/atom
Space-group type ... P4/mmm, No. 123
Mass density ... 12.928 g/cm3
Spin magnetization ... 0.93 μB per cell

Cell lengths 3.062, 3.062, 7.480 Å; angles 90.00, 90.00, 90.00 degrees
Fractional positions:
1 Ga 0.500 0.500 0.500
2 N 0.500 0.500 0.000
3 Pa 0.000 0.000 0.203
4 Pa 0.000 0.000 0.797